--- i ---
# YRe2W

YRe2W after structural relaxation (PBE, the Alexandria database).

Summary:
**Magnetization**: 0.00 μB/f.u.
**SG**: No. 225

Unit cell a=4.607 b=4.607 c=4.607 alpha=60.00 beta=60.00 gamma=60.00
Element x y z (fractional)
Y1 0.000 0.000 0.000
Re1 0.750 0.750 0.750
Re2 0.250 0.250 0.250
W1 0.500 0.500 0.500


--- ii ---
# YRe2W

YRe2W after structural relaxation (PBE, the Alexandria database).

Summary:
**Magnetization**: 0.00 μB/f.u.
**SG**: No. 12

Unit cell a=5.428 b=5.428 c=4.830 alpha=63.38 beta=63.38 gamma=34.14
Element x y z (fractional)
Re1 0.482 0.482 0.517
Re2 0.018 0.018 0.983
Y1 0.250 0.250 0.250
W1 0.750 0.750 0.750


--- iii ---
# YRe2W

YRe2W after structural relaxation (PBE, the Alexandria database).

Summary:
**Magnetization**: 0.00 μB/f.u.
**SG**: No. 44

Unit cell a=5.490 b=5.490 c=4.698 alpha=64.60 beta=64.60 gamma=33.81
Element x y z (fractional)
W1 0.483 0.483 0.517
Re1 0.016 0.016 0.984
Re2 0.749 0.749 0.751
Y1 0.251 0.251 0.249


It comes down to i, which is 6.6 kJ/mol of atoms more stable than the next structure.


--- i ---
# Zn2ReW

Zn2ReW after structural relaxation (PBE, the Alexandria database).

Summary:
**Magnetization**: 0.00 μB/f.u.
**SG**: No. 65

Unit cell a=2.670 b=2.670 c=8.871 alpha=90.00 beta=90.00 gamma=108.66
Element x y z (fractional)
Zn1 0.000 0.000 0.002
Zn2 0.000 0.000 0.498
W1 0.500 0.500 0.750
Re1 0.500 0.500 0.250


--- ii ---
# Zn2ReW

Zn2ReW after structural relaxation (PBE, the Alexandria database).

Summary:
**Magnetization**: 0.00 μB/f.u.
**SG**: No. 122

Unit cell a=6.972 b=6.972 c=5.581 alpha=51.35 beta=51.35 gamma=90.00
Element x y z (fractional)
W1 0.250 0.750 0.500
W2 0.500 0.500 0.000
Zn1 0.875 0.879 0.750
Zn2 0.375 0.371 0.750
Zn3 0.121 0.625 0.250
Zn4 0.629 0.125 0.250
Re1 0.750 0.250 0.500
Re2 0.000 0.000 0.000


--- iii ---
# Zn2ReW

Zn2ReW after structural relaxation (PBE, the Alexandria database).

Summary:
**Magnetization**: 0.00 μB/f.u.
**SG**: No. 99

Unit cell a=3.209 b=3.209 c=5.906 alpha=90.00 beta=90.00 gamma=90.00
Element x y z (fractional)
Re1 0.000 0.000 0.517
W1 0.500 0.500 0.730
Zn1 0.000 0.000 0.018
Zn2 0.500 0.500 0.236


It comes down to iii, which is 11.9 kJ/mol of atoms more stable than the next structure.


--- i ---
# Zn2ReW

Zn2ReW after structural relaxation (PBE, the Alexandria database).

Summary:
**Magnetization**: 0.00 μB/f.u.
**SG**: No. 160

Unit cell a=9.157 b=9.157 c=9.157 alpha=17.62 beta=17.62 gamma=17.62
Element x y z (fractional)
Zn1 0.000 0.000 0.000
Zn2 0.249 0.249 0.249
W1 0.752 0.752 0.752
Re1 0.500 0.500 0.500


--- ii ---
# Zn2ReW

Zn2ReW after structural relaxation (PBE, the Alexandria database).

Summary:
**Magnetization**: 0.00 μB/f.u.
**SG**: No. 35

Unit cell a=2.719 b=2.719 c=8.889 alpha=90.00 beta=90.00 gamma=111.65
Element x y z (fractional)
Zn1 0.000 0.000 0.003
Zn2 0.500 0.500 0.249
W1 0.500 0.500 0.747
Re1 0.000 0.000 0.501


--- iii ---
# Zn2ReW

Zn2ReW after structural relaxation (PBE, the Alexandria database).

Summary:
**Magnetization**: 0.00 μB/f.u.
**SG**: No. 71

Unit cell a=5.151 b=5.151 c=5.151 alpha=144.18 beta=130.89 gamma=62.26
Element x y z (fractional)
W1 0.250 0.750 0.500
Zn1 0.503 0.503 0.000
Zn2 0.997 0.997 0.000
Re1 0.750 0.250 0.500


--- iv ---
# Zn2ReW

Zn2ReW after structural relaxation (PBE, the Alexandria database).

Summary:
**Magnetization**: 0.00 μB/f.u.
**SG**: No. 47

Unit cell a=3.139 b=4.308 c=4.428 alpha=90.00 beta=90.00 gamma=90.00
Element x y z (fractional)
Zn1 0.500 0.500 0.000
Zn2 0.000 0.000 0.000
Re1 0.500 0.000 0.500
W1 0.000 0.500 0.500


It comes down to ii, which is 4.1 kJ/mol of atoms more stable than the next structure.


--- i ---
# Zn2ReW

Zn2ReW after structural relaxation (PBE, the Alexandria database).

Summary:
**Magnetization**: 0.00 μB/f.u.
**SG**: No. 6

Unit cell a=4.337 b=2.701 c=5.176 alpha=80.97 beta=90.00 gamma=90.00
Element x y z (fractional)
W1 0.500 0.723 0.744
Zn1 0.500 0.133 0.242
Zn2 0.000 0.120 0.010
Re1 0.000 0.524 0.505


--- ii ---
# Zn2ReW

Zn2ReW after structural relaxation (PBE, the Alexandria database).

Summary:
**Magnetization**: 0.00 μB/f.u.
**SG**: No. 8

Unit cell a=4.771 b=4.771 c=4.920 alpha=84.25 beta=84.25 gamma=32.62
Element x y z (fractional)
W1 0.251 0.251 0.267
Zn1 0.753 0.753 0.768
Zn2 0.999 0.999 0.981
Re1 0.497 0.497 0.484


It comes down to i, which is 8.2 kJ/mol of atoms more stable than the next structure.